Compound: Cs2Ce2YS6
Source: Alexandria via LeMat-Bulk
Functional: GGA-PBE
Structure: relaxed

D(E_F) = 6.11 states/eV/cell
Symmetry = C2/m, No. 12
Formation energy from raw total energies = -178.1 kJ/mol of atoms
Final energy = -5.92 eV per atom

```
Cs2Ce2YS6
1.0
7.153 -0.019 0.074
-3.552 6.209 0.074
-1.272 -2.187 8.161
S Ce Cs Y
6 2 2 1
direct
0.943 0.611 0.323
0.057 0.389 0.677
0.270 0.270 0.323
0.730 0.730 0.677
0.611 0.943 0.323
0.389 0.057 0.677
0.334 0.666 0.500
0.666 0.334 0.500
0.166 0.834 0.000
0.834 0.166 0.000
0.000 0.000 0.500
```